MgVSi2Ag after structural relaxation, computed with PBE-GGA.

Geometry as POSCAR:
```
MgVSi2Ag
1.0
-3.9297 -2.2087 0.6701
2.1098 -4.2691 -1.6989
1.3080 -1.0409 4.2398
Si Mg Ag V
2 1 1 1
direct
0.0000 0.0000 0.5000
0.5000 0.0000 0.0000
0.5000 0.5000 0.5000
0.0000 0.5000 0.0000
0.0000 0.0000 0.0000
```

Values from the calculation:
For the density of states at the Fermi level, the calculation gives 0.534 states/eV/atom. The value obtained for the energy relative to the elements, uncorrected is 0.5585 eV/atom. The magnetic moment comes out at 0.062 μB/atom.